KZrCu2Tc | PBE | optimized geometry

## Properties
As for the formation energy: 1.64 eV per atom.

Lattice parameters (Å, degrees): 4.7633 4.8067 4.7633 90.00 90.00 90.00
With the nearest neighbours (Å) after each atom.
Fractional positions:
K: 0.0000 0.5000 0.0000  2 Tc 2.40
Cu: 0.0000 0.0000 0.5000  2 Tc 2.38
Cu: 0.5000 0.0000 0.0000  2 Tc 2.38
Tc: 0.0000 0.0000 0.0000  4 Cu 2.38, 2 K 2.40
Zr: 0.5000 0.5000 0.5000  4 K 3.37, 8 Cu 3.38

***

RuPt2SF | PBE | optimized geometry

## Properties
For the uncorrected formation energy, the calculation gives 438.9 meV per atom.

Lattice parameters (Å, degrees): 4.5431 3.9450 4.5431 90.00 90.00 90.00
With the nearest neighbours (Å) after each atom.
Fractional positions:
Ru: 0.5000 0.5000 0.5000  8 Pt 3.01, 4 F 3.21
S: 0.0000 0.0000 0.0000  2 F 1.97
Pt: 0.0000 0.0000 0.5000  2 S 2.27
Pt: 0.5000 0.0000 0.0000  2 S 2.27
F: 0.0000 0.5000 0.0000  2 S 1.97

***

Y5Co2Ge | PBE | optimized geometry

## Properties
As for the formation energy: -0.36 eV per atom.

Lattice parameters (Å, degrees): 7.4103 7.4103 8.6030 115.51 115.51 90.00
With the nearest neighbours (Å) after each atom.
Fractional positions:
Y: 0.5285 0.6905 0.7191  3 Co 2.86-2.98, 2 Ge 3.13
Y: 0.8095 0.9715 0.2809  3 Co 2.86-2.98, 2 Ge 3.13
Y: 0.0000 0.0000 0.0000  4 Co 2.99
Y: 0.5000 0.5000 0.0000  4 Co 2.99
Y: 0.1905 0.0285 0.7191  3 Co 2.86-2.98, 2 Ge 3.13
Y: 0.6905 0.1905 0.7191  3 Co 2.86-2.98, 2 Ge 3.13
Y: 0.0285 0.5285 0.7191  3 Co 2.86-2.98, 2 Ge 3.13
Y: 0.3095 0.8095 0.2809  3 Co 2.86-2.98, 2 Ge 3.13
Y: 0.9715 0.4715 0.2809  3 Co 2.86-2.98, 2 Ge 3.13
Y: 0.4715 0.3095 0.2809  3 Co 2.86-2.98, 2 Ge 3.13
Co: 0.1127 0.3873 0.0000  1 Co 2.36
Co: 0.6127 0.1127 0.0000  1 Co 2.36
Co: 0.3873 0.8873 0.0000  1 Co 2.36
Co: 0.8873 0.6127 0.0000  1 Co 2.36
Ge: 0.7500 0.7500 0.5000  10 Y 3.13-3.41
Ge: 0.2500 0.2500 0.5000  10 Y 3.13-3.41

***

LiMg2Nb | PBE | optimized geometry

## Properties
As for the formation energy: 0.62 eV per atom. For the energy above the most stable polymorph in this dataset, the calculation gives 0.293 eV per atom.

Lattice parameters (Å, degrees): 7.3630 7.3630 5.9440 51.73 51.73 90.00
With the nearest neighbours (Å) after each atom.
Fractional positions:
Nb: 0.0000 0.0000 0.0000  4 Mg 2.86, 2 Li 2.87
Nb: 0.7500 0.2500 0.5000  4 Mg 2.86, 2 Li 2.87
Mg: 0.5932 0.1250 0.2500  2 Li 2.55
Mg: 0.1568 0.6250 0.2500  2 Li 2.55
Mg: 0.3750 0.4068 0.7500  2 Li 2.55
Mg: 0.8750 0.8432 0.7500  2 Li 2.55
Li: 0.5000 0.5000 0.0000  4 Mg 2.55
Li: 0.2500 0.7500 0.5000  4 Mg 2.55

***

CaY4Au | PBE | optimized geometry

## Properties
As for the formation energy: 0.30 eV per atom.

Lattice parameters (Å, degrees): 6.4458 6.4458 6.4458 60.00 60.00 60.00
With the nearest neighbours (Å) after each atom.
Fractional positions:
Ca: 0.0000 0.0000 0.0000  12 Y 3.78, 4 Au 3.95
Y: 0.3755 0.8735 0.3755  6 Y 3.21-3.24
Y: 0.8735 0.3755 0.3755  6 Y 3.21-3.24
Y: 0.3755 0.3755 0.8735  6 Y 3.21-3.24
Y: 0.3755 0.3755 0.3755  6 Y 3.21-3.24
Au: 0.7500 0.7500 0.7500  12 Y 3.78, 4 Ca 3.95

***

KBaCo2 | PBE | optimized geometry

## Properties
As for the formation energy: 1.12 eV per atom. For the energy above the most stable polymorph in this dataset, the calculation gives 0.707 eV per atom.

Lattice parameters (Å, degrees): 5.4558 5.4558 5.4558 60.00 60.00 60.00
With the nearest neighbours (Å) after each atom.
Fractional positions:
K: 0.0000 0.0000 0.0000  8 Co 3.34
Co: 0.2500 0.2500 0.2500  4 Ba 3.34, 4 K 3.34
Co: 0.7500 0.7500 0.7500  4 Ba 3.34, 4 K 3.34
Ba: 0.5000 0.5000 0.5000  8 Co 3.34

***

Tl2Se2Cl7 | PBE | optimized geometry

## Properties
For the uncorrected formation energy, the calculation gives -410.2 meV per atom.

Lattice parameters (Å, degrees): 7.5177 7.1316 7.1316 103.26 93.91 93.91
With the nearest neighbours (Å) after each atom.
Fractional positions:
Tl: 0.0000 0.2632 0.7368  6 Cl 3.12-3.36
Tl: 0.0000 0.7368 0.2632  6 Cl 3.12-3.36
Se: 0.5029 0.2811 0.2811  4 Cl 2.37-2.49
Se: 0.4971 0.7189 0.7189  4 Cl 2.37-2.49
Cl: 0.7266 0.8828 0.5621  1 Se 2.49
Cl: 0.2734 0.4379 0.1172  1 Se 2.49
Cl: 0.2734 0.1172 0.4379  1 Se 2.49
Cl: 0.7266 0.5621 0.8828  1 Se 2.49
Cl: 0.5000 0.0000 0.0000  2 Se 2.49
Cl: 0.1805 0.6947 0.6947  1 Se 2.37
Cl: 0.8195 0.3053 0.3053  1 Se 2.37

***

PrHo4Tl7 | PBE | optimized geometry

## Properties
As for the formation energy: -0.10 eV per atom.

Lattice parameters (Å, degrees): 5.7797 9.9371 7.2719 81.97 66.58 73.09
With the nearest neighbours (Å) after each atom.
Fractional positions:
Pr: 0.0000 0.0000 0.0000  2 Tl 2.89
Ho: 0.5861 0.2168 0.6110  8 Tl 3.13-3.42
Ho: 0.4139 0.7832 0.3890  8 Tl 3.13-3.42
Ho: 0.7199 0.6704 0.8898  8 Tl 3.14-3.45
Ho: 0.2801 0.3296 0.1102  8 Tl 3.14-3.45
Tl: 0.7855 0.8938 0.5352  4 Ho 3.13-3.24, 2 Tl 3.27-3.29
Tl: 0.2145 0.1062 0.4648  4 Ho 3.13-3.24, 2 Tl 3.27-3.29
Tl: 0.0794 0.6697 0.1716  4 Tl 3.24-3.60, 5 Ho 3.27-3.45, 1 Pr 3.31
Tl: 0.9206 0.3303 0.8284  4 Tl 3.24-3.60, 5 Ho 3.27-3.45, 1 Pr 3.31
Tl: 0.3649 0.5463 0.7239  5 Ho 3.13-3.32, 2 Tl 3.14-3.24
Tl: 0.5000 0.0000 0.0000  2 Pr 2.89
Tl: 0.6351 0.4537 0.2761  5 Ho 3.13-3.32, 2 Tl 3.14-3.24

***

Cr2FeCoN | PBE | optimized geometry

## Properties
For the uncorrected formation energy, the calculation gives -94.6 meV per atom. For the energy above the most stable polymorph in this dataset, the calculation gives 0.000 eV per atom.

Lattice parameters (Å, degrees): 3.7850 3.7850 3.7046 90.00 90.00 90.00
With the nearest neighbours (Å) after each atom.
Fractional positions:
Cr: 0.0000 0.5000 0.0000  2 N 1.89
Cr: 0.5000 0.0000 0.0000  2 N 1.89
Co: 0.0000 0.0000 0.5000  2 N 1.85
Fe: 0.5000 0.5000 0.5000  8 Cr 2.65, 4 Co 2.68
N: 0.0000 0.0000 0.0000  2 Co 1.85, 4 Cr 1.89

***

Tl3ReBr2F6 | PBE | optimized geometry

## Properties
For the uncorrected formation energy, the calculation gives -1665.5 meV per atom.

Lattice parameters (Å, degrees): 5.0059 7.9479 9.0808 115.95 91.64 90.00
With the nearest neighbours (Å) after each atom.
Fractional positions:
Tl: 0.0000 0.5000 0.0000  4 F 2.98, 2 Br 3.20
Tl: 0.5000 0.5000 0.5000  2 F 3.14, 4 Br 3.29-3.34
Tl: 0.5000 0.0000 0.5000  2 F 3.14, 4 Br 3.29-3.34
Re: 0.5000 0.0000 0.0000  6 F 1.92-1.93
Br: 0.0007 0.6960 0.3920  5 Tl 3.20-3.34
Br: 0.9993 0.3040 0.6080  5 Tl 3.20-3.34
F: 0.7356 0.2145 0.0784  1 Re 1.92
F: 0.2644 0.7855 0.9216  1 Re 1.92
F: 0.6531 0.8931 0.7862  1 Re 1.93
F: 0.3469 0.1069 0.2138  1 Re 1.93
F: 0.2644 0.1361 0.9216  1 Re 1.92
F: 0.7356 0.8639 0.0784  1 Re 1.92

***

In6AgHg4 | PBE | optimized geometry

## Properties
As for the formation energy: 0.03 eV per atom.

Lattice parameters (Å, degrees): 6.1143 6.1271 8.9361 110.13 110.60 91.14
With the nearest neighbours (Å) after each atom.
Fractional positions:
In: 0.0410 0.6370 0.6677  5 Hg 2.98-3.29, 1 Ag 3.06
In: 0.6275 0.0265 0.6468  5 Hg 3.03-3.31, 1 Ag 3.32, 1 In 3.34
In: 0.9547 0.9671 0.3228  5 Hg 2.97-3.26, 1 Ag 2.99
In: 0.0096 0.4535 0.9990  2 Ag 2.99-3.13, 4 Hg 3.02-3.10, 1 In 3.34
In: 0.3761 0.3836 0.3618  5 Hg 3.07-3.29, 1 Ag 3.35, 2 In 3.41-3.43
In: 0.4908 0.0375 0.9984  4 Hg 3.00-3.13, 2 Ag 3.04-3.14
Ag: 0.9973 0.9649 0.9995  7 In 2.99-3.32, 2 Hg 3.07-3.20
Hg: 0.8273 0.4615 0.2836  7 In 2.98-3.26, 1 Hg 3.31
Hg: 0.5725 0.5722 0.7575  7 In 3.07-3.31, 1 Ag 3.07, 1 Hg 3.24
Hg: 0.4332 0.8245 0.2565  7 In 3.02-3.29, 1 Ag 3.20, 1 Hg 3.31
Hg: 0.1702 0.1719 0.7062  7 In 2.97-3.23, 1 Hg 3.24

***

MgSnPd5 | PBE | optimized geometry

## Properties
As for the formation energy: -0.36 eV per atom. For the energy above the most stable polymorph in this dataset, the calculation gives 0.017 eV per atom.

Lattice parameters (Å, degrees): 6.8807 6.8807 8.4663 52.03 52.03 63.76
With the nearest neighbours (Å) after each atom.
Fractional positions:
Mg: 0.3288 0.6712 0.2500  5 Pd 2.64-2.82
Mg: 0.6712 0.3288 0.7500  5 Pd 2.64-2.82
Sn: 0.0000 0.0000 0.0000  8 Pd 2.69-2.71
Sn: 0.0000 0.0000 0.5000  8 Pd 2.69-2.71
Pd: 0.7812 0.8085 0.9551  2 Mg 2.64-2.82, 2 Sn 2.69, 6 Pd 2.80-2.84
Pd: 0.0000 0.5000 0.7578  2 Sn 2.71, 6 Pd 2.80-2.90, 2 Mg 3.02
Pd: 0.8085 0.7812 0.4551  2 Mg 2.64-2.82, 2 Sn 2.69, 6 Pd 2.80-2.84
Pd: 0.7011 0.2989 0.2500  1 Mg 2.71, 8 Pd 2.81-2.90
Pd: 0.5000 0.0000 0.7422  2 Sn 2.71, 6 Pd 2.80-2.90, 2 Mg 3.02
Pd: 0.5000 0.0000 0.2578  2 Sn 2.71, 6 Pd 2.80-2.90, 2 Mg 3.02
Pd: 0.2989 0.7011 0.7500  1 Mg 2.71, 8 Pd 2.81-2.90
Pd: 0.1915 0.2188 0.5449  2 Mg 2.64-2.82, 2 Sn 2.69, 6 Pd 2.80-2.84
Pd: 0.0000 0.5000 0.2422  2 Sn 2.71, 6 Pd 2.80-2.90, 2 Mg 3.02
Pd: 0.2188 0.1915 0.0449  2 Mg 2.64-2.82, 2 Sn 2.69, 6 Pd 2.80-2.84

***

| no. | E (eV/atom) |
| --- | --- |
| 1 | -4.003 |
| 2 | -5.032 |
| 3 | -6.750 |
| 4 | -3.168 |
| 5 | -4.893 |
| 6 | -3.192 |
| 7 | -2.649 |
| 8 | -3.406 |
| 9 | -8.723 |
| 10 | -4.509 |
| 11 | -1.832 |
| 12 | -4.869 |